Density functional theory data (PBE-GGA) for a relaxed Y2MgFe crystal.

Output
ΔH_f (0 K): 0.17 eV/atom
Energy: -22.30 eV per cell

a b c (Å): 3.4910 3.4910 7.8595
angles (deg): 90.00 90.00 90.00
Last column: nearest neighbours and their distance in Å.
Fractional coordinates of all 4 atoms:
Y 0.0000 0.0000 0.9704  4 Mg 3.28, 1 Fe 3.49, 8 Y 3.49-3.62
Mg 0.5000 0.5000 0.6959  4 Fe 2.80, 1 Y 3.06
Fe 0.0000 0.0000 0.5269  4 Mg 2.80, 4 Y 3.01
Y 0.5000 0.5000 0.3067  4 Fe 3.01, 1 Mg 3.06